# Pr2SiI, optimized geometry, DFT PBE
# SG = P4/mmm (123)
# Energy above the most stable polymorph in this dataset = 0.2758 eV/atom
data_Pr2SiI
_space_group_name_H-M_alt 'P 1'
_space_group_IT_number 1
_space_group_name_Hall 'P 1'
_cell_length_a 3.6974
_cell_length_b 3.6974
_cell_length_c 8.2656
_cell_angle_alpha 90.00
_cell_angle_beta 90.00
_cell_angle_gamma 90.00
loop_
_atom_site_label
_atom_site_fract_x
_atom_site_fract_y
_atom_site_fract_z
Pr1 0.0000 0.0000 0.2163
Pr2 0.0000 0.0000 0.7837
Si1 0.5000 0.5000 0.0000
I1 0.5000 0.5000 0.5000